# 1
VASP calculation (PBE) on a geometry-optimized Tm4AlTlCd2 structure. Values from VASP.

Geometry as Quantum ESPRESSO input:
```
&SYSTEM
  ibrav = 0, nat = 8, ntyp = 4
/
ATOMIC_SPECIES
Tm 168.93 Tm.upf
Al 26.98 Al.upf
Tl 204.38 Tl.upf
Cd 112.41 Cd.upf
CELL_PARAMETERS angstrom
2.593 1.497 8.504
-2.593 1.497 8.504
0.000 -2.995 8.504
ATOMIC_POSITIONS crystal
Tm 0.122 0.122 0.122
Tm 0.373 0.373 0.373
Tm 0.627 0.627 0.627
Tm 0.878 0.878 0.878
Al 0.000 0.000 0.000
Tl 0.500 0.500 0.500
Cd 0.251 0.251 0.251
Cd 0.749 0.749 0.749
```

Calculated values
The value obtained for the density of states at the Fermi level is 6.13 states/eV per cell. The crystal system is trigonal. As for the calculated density: 9.49 g/cm³. The calculation puts the energy of formation from the pure elements at -0.325 eV per atom.

---

# 2
VASP calculation (PBE) on a geometry-optimized AlTlCdW2 structure. Values from VASP.

Geometry as Quantum ESPRESSO input:
```
&SYSTEM
  ibrav = 0, nat = 5, ntyp = 4
/
ATOMIC_SPECIES
Al 26.98 Al.upf
Tl 204.38 Tl.upf
Cd 112.41 Cd.upf
W 183.84 W.upf
CELL_PARAMETERS angstrom
5.196 0.000 0.000
0.000 5.196 0.000
0.000 0.000 4.825
ATOMIC_POSITIONS crystal
Al 0.000 0.000 0.000
Tl 0.000 0.000 0.500
Cd 0.500 0.500 0.000
W 0.000 0.500 0.500
W 0.500 0.000 0.500
```

Calculated values
The value obtained for the density of states at the Fermi level is 3.40 states/eV per cell. The crystal system is tetragonal. As for the calculated density: 9.07 g/cm³. The calculation puts the energy of formation from the pure elements at 2.456 eV per atom.